Nd8Si3AsBr4: optimized geometry, PBE-GGA.

Summary:
* space-group type: R-3m (166)
* formation energy without anion corrections: -1175 meV per atom
* VASP energy: -84.551 eV per cell
* density of states at the Fermi level: 7.5 states/eV/cell

Unit cell a=8.8581 b=8.8581 c=8.8581 alpha=57.57 beta=57.57 gamma=57.57
With the nearest neighbours (Å) after each atom.
Element x y z (fractional)
Nd (0.2313, 0.7387, 0.7387)  2 Si 2.89, 1 As 2.93
Nd (0.2367, 0.2367, 0.2367)  3 Si 2.91
Nd (0.2613, 0.2613, 0.7687)  2 Si 2.89, 1 As 2.93
Nd (0.2613, 0.7687, 0.2613)  2 Si 2.89, 1 As 2.93
Nd (0.7387, 0.2313, 0.7387)  2 Si 2.89, 1 As 2.93
Nd (0.7387, 0.7387, 0.2313)  2 Si 2.89, 1 As 2.93
Nd (0.7633, 0.7633, 0.7633)  3 Si 2.91
Nd (0.7687, 0.2613, 0.2613)  2 Si 2.89, 1 As 2.93
Si (0.0000, 0.0000, 0.5000)  6 Nd 2.89-2.91
Si (0.0000, 0.5000, 0.0000)  6 Nd 2.89-2.91
Si (0.5000, 0.0000, 0.0000)  6 Nd 2.89-2.91
As (0.5000, 0.5000, 0.5000)  6 Nd 2.93
Br (0.0000, 0.0000, 0.0000)  6 Nd 3.24
Br (0.0000, 0.5000, 0.5000)  6 Nd 3.26-3.28
Br (0.5000, 0.0000, 0.5000)  6 Nd 3.26-3.28
Br (0.5000, 0.5000, 0.0000)  6 Nd 3.26-3.28